1.
NpCrAgS4 after structural relaxation, computed with PBE.

Computed properties:
- Space-group type: No. 74
- Crystal system: orthorhombic
- Energy relative to the elements, uncorrected: -0.82 eV per atom

Cell: 7.450 7.450 7.450 Å, 120.54 114.93 94.03°
Fractional coordinates of all 14 atoms:
Np: 0.000 0.000 0.000
Np: 0.500 0.000 0.500
Cr: 0.500 0.000 0.000
Cr: 0.500 0.500 0.500
Ag: 0.088 0.338 0.750
Ag: 0.912 0.662 0.250
S: 0.260 0.250 0.489
S: 0.260 0.771 0.011
S: 0.292 0.742 0.550
S: 0.308 0.258 0.050
S: 0.692 0.742 0.950
S: 0.708 0.258 0.450
S: 0.740 0.229 0.989
S: 0.740 0.750 0.511

2.
K2TlW after structural relaxation, computed with PBE.

Computed properties:
- Space-group type: No. 122
- Crystal system: tetragonal
- ΔH_f (0 K): 546 kJ/mol of formula units
- Energy above the most stable polymorph in this dataset: 434 meV per atom

Cell: 7.447 7.447 7.447 Å, 99.06 99.06 133.24°
Fractional coordinates of all 8 atoms:
K: 0.121 0.125 0.496
K: 0.375 0.879 0.004
K: 0.629 0.625 0.504
K: 0.875 0.371 0.996
Tl: 0.250 0.750 0.500
Tl: 0.500 0.500 0.000
W: 0.000 0.000 0.000
W: 0.750 0.250 0.500

3.
BeCr2SnPb after structural relaxation, computed with PBE.

Computed properties:
- Space-group type: No. 123
- Crystal system: tetragonal
- ΔH_f (0 K): 333 kJ/mol of formula units

Cell: 4.602 4.602 4.562 Å, 90.00 90.00 90.00°
Fractional coordinates of all 5 atoms:
Be: 0.000 0.000 0.000
Cr: 0.000 0.500 0.000
Cr: 0.500 0.000 0.000
Sn: 0.000 0.000 0.500
Pb: 0.500 0.500 0.500

4.
LaTeF2 after structural relaxation, computed with PBE.

Computed properties:
- Space-group type: No. 166
- Crystal system: trigonal
- Energy relative to the elements, uncorrected: -2.86 eV per atom
- Energy above the most stable polymorph in this dataset: 0 meV per atom

Cell: 6.530 6.530 6.530 Å, 36.49 36.49 36.49°
Fractional coordinates of all 4 atoms:
La: 0.000 0.000 0.000
Te: 0.500 0.500 0.500
F: 0.304 0.304 0.304
F: 0.696 0.696 0.696

Electronic total energy for the records above, in order: -6.8123, -2.9650, -5.4468, -5.8147 eV/atom
D(E_F) for the records above, in order: 19.14, 5.62, 3.40, 1.95 states/eV/cell
V for the records above, in order: 150, 138, 97, 88 Å³/f.u.